This record from the Alexandria database describes a relaxed structure of BaLa2Zr. The functional is PBE.

Properties
magnetic moment	0.0	μB/cell
space group	C2/m
polymorph energy (0 for the lowest one)	0.126	eV/atom
formation energy	312	meV per atom

Cell: 11.4186 3.5866 7.0709 Å, 90.00 97.12 90.00°
Last column: nearest neighbours and their distance in Å.
Fractional positions:
Ba: 0.0000 0.0000 0.0000  2 Ba 3.59, 6 La 3.62-3.87, 4 Zr 3.96
Ba: 0.5000 0.5000 0.0000  2 Ba 3.59, 6 La 3.62-3.87, 4 Zr 3.96
La: 0.2378 0.0000 0.7054  3 Zr 3.42-3.49, 4 La 3.45-3.59, 1 Ba 3.62
La: 0.2622 0.5000 0.2946  3 Zr 3.42-3.49, 4 La 3.45-3.59, 1 Ba 3.62
La: 0.7378 0.5000 0.7054  3 Zr 3.42-3.49, 4 La 3.45-3.59, 1 Ba 3.62
La: 0.7622 0.0000 0.2946  3 Zr 3.42-3.49, 4 La 3.45-3.59, 1 Ba 3.62
Zr: 0.0000 0.5000 0.5000  6 La 3.42-3.49, 2 Zr 3.59
Zr: 0.5000 0.0000 0.5000  6 La 3.42-3.49, 2 Zr 3.59

***

This record from the Alexandria database describes a relaxed structure of Ba2LaZr. The functional is PBE.

Properties
magnetic moment	9.2	μB/cell
space group	F-43m
polymorph energy (0 for the lowest one)	0.199	eV/atom
formation energy	527	meV per atom

Cell: 8.6128 8.6128 8.6128 Å, 90.00 90.00 90.00°
Last column: nearest neighbours and their distance in Å.
Fractional positions:
Ba: 0.0000 0.0000 0.0000  4 Zr 3.73, 4 Ba 3.73
Ba: 0.0000 0.5000 0.5000  4 Zr 3.73, 4 Ba 3.73
Ba: 0.2500 0.2500 0.2500  4 Ba 3.73, 4 La 3.73
Ba: 0.2500 0.7500 0.7500  4 Ba 3.73, 4 La 3.73
Ba: 0.5000 0.0000 0.5000  4 Zr 3.73, 4 Ba 3.73
Ba: 0.5000 0.5000 0.0000  4 Zr 3.73, 4 Ba 3.73
Ba: 0.7500 0.2500 0.7500  4 Ba 3.73, 4 La 3.73
Ba: 0.7500 0.7500 0.2500  4 Ba 3.73, 4 La 3.73
La: 0.0000 0.0000 0.5000  4 Ba 3.73, 4 Zr 3.73
La: 0.0000 0.5000 0.0000  4 Ba 3.73, 4 Zr 3.73
La: 0.5000 0.0000 0.0000  4 Ba 3.73, 4 Zr 3.73
La: 0.5000 0.5000 0.5000  4 Ba 3.73, 4 Zr 3.73
Zr: 0.2500 0.2500 0.7500  4 Ba 3.73, 4 La 3.73
Zr: 0.2500 0.7500 0.2500  4 Ba 3.73, 4 La 3.73
Zr: 0.7500 0.2500 0.2500  4 Ba 3.73, 4 La 3.73
Zr: 0.7500 0.7500 0.7500  4 Ba 3.73, 4 La 3.73

***

This record from the Alexandria database describes a relaxed structure of Ba3LaZr. The functional is PBE.

Properties
magnetic moment	0.9	μB/cell
space group	Pm-3m
formation energy	1192	meV per atom

Cell: 6.2962 6.2962 6.2962 Å, 90.00 90.00 90.00°
Last column: nearest neighbours and their distance in Å.
Fractional positions:
Ba: 0.0000 0.0000 0.5000  2 La 3.15
Ba: 0.0000 0.5000 0.0000  2 La 3.15
Ba: 0.5000 0.0000 0.0000  2 La 3.15
La: 0.0000 0.0000 0.0000  6 Ba 3.15
Zr: 0.5000 0.5000 0.5000  12 Ba 4.45

***

This record from the Alexandria database describes a relaxed structure of Ba2LaZr. The functional is PBE.

Properties
magnetic moment	1.8	μB/cell
space group	P2/m
polymorph energy (0 for the lowest one)	0.226	eV/atom
formation energy	554	meV per atom

Cell: 3.6544 6.1216 7.2569 Å, 90.00 103.26 90.00°
Last column: nearest neighbours and their distance in Å.
Fractional positions:
Ba: 0.0777 0.0000 0.2616  4 Ba 3.63-3.71, 2 Zr 3.68, 2 La 3.95
Ba: 0.9223 0.0000 0.7384  4 Ba 3.63-3.71, 2 Zr 3.68, 2 La 3.95
La: 0.5000 0.5000 0.0000  2 Zr 3.63, 2 La 3.65, 4 Ba 3.95
Zr: 0.5000 0.5000 0.5000  2 La 3.63, 2 Zr 3.65, 4 Ba 3.68

***

This record from the Alexandria database describes a relaxed structure of Ba2LaZr. The functional is PBE.

Properties
magnetic moment	8.2	μB/cell
space group	I-42d
polymorph energy (0 for the lowest one)	0.449	eV/atom
formation energy	776	meV per atom

Cell: 9.6996 9.6996 6.9916 Å, 90.00 90.00 90.00°
Last column: nearest neighbours and their distance in Å.
Fractional positions:
Ba: 0.2327 0.2500 0.1250  2 Zr 3.43, 2 Ba 3.51, 2 La 3.66
Ba: 0.2500 0.7327 0.3750  2 Zr 3.43, 2 Ba 3.51, 2 La 3.66
Ba: 0.2500 0.7673 0.8750  2 Zr 3.43, 2 Ba 3.51, 2 La 3.66
Ba: 0.2673 0.2500 0.6250  2 Zr 3.43, 2 Ba 3.51, 2 La 3.66
Ba: 0.7327 0.7500 0.6250  2 Zr 3.43, 2 Ba 3.51, 2 La 3.66
Ba: 0.7500 0.2327 0.8750  2 Zr 3.43, 2 Ba 3.51, 2 La 3.66
Ba: 0.7500 0.2673 0.3750  2 Zr 3.43, 2 Ba 3.51, 2 La 3.66
Ba: 0.7673 0.7500 0.1250  2 Zr 3.43, 2 Ba 3.51, 2 La 3.66
La: 0.0000 0.0000 0.5000  2 Zr 3.50, 4 Ba 3.66
La: 0.0000 0.5000 0.7500  2 Zr 3.50, 4 Ba 3.66
La: 0.5000 0.0000 0.2500  2 Zr 3.50, 4 Ba 3.66
La: 0.5000 0.5000 0.0000  2 Zr 3.50, 4 Ba 3.66
Zr: 0.0000 0.0000 0.0000  4 Ba 3.43, 2 La 3.50
Zr: 0.0000 0.5000 0.2500  4 Ba 3.43, 2 La 3.50
Zr: 0.5000 0.0000 0.7500  4 Ba 3.43, 2 La 3.50
Zr: 0.5000 0.5000 0.5000  4 Ba 3.43, 2 La 3.50

***

This record from the Alexandria database describes a relaxed structure of BaLa2Zr. The functional is PBE.

Properties
magnetic moment	9.3	μB/cell
space group	Fm-3m
polymorph energy (0 for the lowest one)	0.223	eV/atom
formation energy	410	meV per atom

Cell: 8.3191 8.3191 8.3191 Å, 90.00 90.00 90.00°
Last column: nearest neighbours and their distance in Å.
Fractional positions:
Ba: 0.0000 0.0000 0.0000  8 La 3.60
Ba: 0.0000 0.5000 0.5000  8 La 3.60
Ba: 0.5000 0.0000 0.5000  8 La 3.60
Ba: 0.5000 0.5000 0.0000  8 La 3.60
La: 0.2500 0.2500 0.2500  4 Zr 3.60, 4 Ba 3.60
La: 0.2500 0.2500 0.7500  4 Ba 3.60, 4 Zr 3.60
La: 0.2500 0.7500 0.2500  4 Ba 3.60, 4 Zr 3.60
La: 0.2500 0.7500 0.7500  4 Zr 3.60, 4 Ba 3.60
La: 0.7500 0.2500 0.2500  4 Ba 3.60, 4 Zr 3.60
La: 0.7500 0.2500 0.7500  4 Zr 3.60, 4 Ba 3.60
La: 0.7500 0.7500 0.2500  4 Zr 3.60, 4 Ba 3.60
La: 0.7500 0.7500 0.7500  4 Ba 3.60, 4 Zr 3.60
Zr: 0.0000 0.0000 0.5000  8 La 3.60
Zr: 0.0000 0.5000 0.0000  8 La 3.60
Zr: 0.5000 0.0000 0.0000  8 La 3.60
Zr: 0.5000 0.5000 0.5000  8 La 3.60